Record 1
## MnNbFePd (PBE)

Data for MnNbFePd after structural relaxation.

Structure (extended XYZ):
```
16
Lattice="6.1526 0.0000 0.0000 0.0000 6.1526 0.0000 0.0000 0.0000 6.1526" Properties=species:S:1:pos:R:3 pbc="T T T"
Mn 0.0000 0.0000 0.0000
Mn 0.0000 3.0763 3.0763
Mn 3.0763 0.0000 3.0763
Mn 3.0763 3.0763 0.0000
Nb 1.5381 1.5381 1.5381
Nb 1.5381 4.6144 4.6144
Nb 4.6144 1.5381 4.6144
Nb 4.6144 4.6144 1.5381
Fe 0.0000 0.0000 3.0763
Fe 0.0000 3.0763 0.0000
Fe 3.0763 0.0000 0.0000
Fe 3.0763 3.0763 3.0763
Pd 1.5381 1.5381 4.6144
Pd 1.5381 4.6144 1.5381
Pd 4.6144 1.5381 1.5381
Pd 4.6144 4.6144 4.6144
```

Summary:
V, A^3/atom: 14.556
SG: F-43m, No. 216
Raw total energy, eV per cell: -131.83
Mass density, g cm⁻³: 8.8

***

Record 2
## MnNbFePt (PBE)

Data for MnNbFePt after structural relaxation.

Structure (extended XYZ):
```
16
Lattice="6.1562 0.0000 0.0000 0.0000 6.1562 0.0000 0.0000 0.0000 6.1562" Properties=species:S:1:pos:R:3 pbc="T T T"
Mn 0.0000 0.0000 0.0000
Mn 0.0000 3.0781 3.0781
Mn 3.0781 0.0000 3.0781
Mn 3.0781 3.0781 0.0000
Nb 1.5390 1.5390 4.6171
Nb 1.5390 4.6171 1.5390
Nb 4.6171 1.5390 1.5390
Nb 4.6171 4.6171 4.6171
Fe 0.0000 0.0000 3.0781
Fe 0.0000 3.0781 0.0000
Fe 3.0781 0.0000 0.0000
Fe 3.0781 3.0781 3.0781
Pt 1.5390 1.5390 1.5390
Pt 1.5390 4.6171 4.6171
Pt 4.6171 1.5390 4.6171
Pt 4.6171 4.6171 1.5390
```

Summary:
V, A^3/atom: 14.582
SG: F-43m, No. 216
Raw total energy, eV per cell: -138.18
Mass density, g cm⁻³: 11.4